# PBE-GGA SrSbAu, optimized geometry
data_SrSbAu
_chemical_formula_sum 'Sr2 Sb2 Au2'
_cell_length_a 5.350
_cell_length_b 5.349
_cell_length_c 6.608
_cell_angle_alpha 90.00
_cell_angle_beta 90.00
_cell_angle_gamma 120.01
_symmetry_space_group_name_H-M 'P 1'
_symmetry_Int_Tables_number 1
_symmetry_space_group_name_Hall 'P 1'
loop_
_atom_site_label
_atom_site_fract_x
_atom_site_fract_y
_atom_site_fract_z
_atom_site_occupancy
Au1 0.333 0.667 0.750 1
Au2 0.667 0.333 0.250 1
Sr1 0.667 0.333 0.750 1
Sr2 0.333 0.667 0.250 1
Sb1 0.000 0.000 0.000 1
Sb2 0.000 0.000 0.500 1
# SG: No. 194


# PBE-GGA TaTe3SI, optimized geometry
data_TaTe3SI
_chemical_formula_sum 'Ta2 Te6 S2 I2'
_cell_length_a 6.823
_cell_length_b 7.581
_cell_length_c 9.092
_cell_angle_alpha 112.22
_cell_angle_beta 102.67
_cell_angle_gamma 101.19
_symmetry_space_group_name_H-M 'P 1'
_symmetry_Int_Tables_number 1
_symmetry_space_group_name_Hall 'P 1'
loop_
_atom_site_label
_atom_site_fract_x
_atom_site_fract_y
_atom_site_fract_z
_atom_site_occupancy
Ta1 0.257 0.999 0.999 1
Ta2 0.743 0.001 0.001 1
Te1 0.974 0.136 0.811 1
Te2 0.121 0.336 0.163 1
Te3 0.617 0.149 0.296 1
S1 0.472 0.789 0.060 1
I1 0.246 0.392 0.559 1
Te4 0.879 0.664 0.837 1
I2 0.754 0.608 0.441 1
Te5 0.383 0.851 0.704 1
Te6 0.026 0.864 0.189 1
S2 0.528 0.211 0.940 1
# E above lowest polymorph, meV/atom: 0.0
# SG: No. 2
# Total magnetic moment, μB per formula unit: 0.0


# PBE-GGA CdTe, optimized geometry
data_CdTe
_chemical_formula_sum 'Cd2 Te2'
_cell_length_a 3.112
_cell_length_b 4.377
_cell_length_c 8.158
_cell_angle_alpha 90.00
_cell_angle_beta 90.00
_cell_angle_gamma 90.00
_symmetry_space_group_name_H-M 'P 1'
_symmetry_Int_Tables_number 1
_symmetry_space_group_name_Hall 'P 1'
loop_
_atom_site_label
_atom_site_fract_x
_atom_site_fract_y
_atom_site_fract_z
_atom_site_occupancy
Te1 0.500 0.000 0.155 1
Te2 0.000 0.500 0.845 1
Cd1 0.500 0.500 0.396 1
Cd2 0.000 0.000 0.604 1
# SG: No. 59


| no. | calculated total energy (eV per atom) |
| --- | --- |
| 1 | -3.61 |
| 2 | -4.85 |
| 3 | -2.00 |